No. 1
Material: Er2V2O7
Method: DFT, PBEsol
State: optimized geometry

abc: 6.993 6.993 6.993
angles: 60.00 60.00 60.00
Fractional positions:
Er (0.000, 0.000, 0.000)
Er (0.000, 0.000, 0.500)
Er (0.000, 0.500, 0.000)
Er (0.500, 0.000, 0.000)
V (0.000, 0.500, 0.500)
V (0.500, 0.000, 0.500)
V (0.500, 0.500, 0.000)
V (0.500, 0.500, 0.500)
O (0.125, 0.125, 0.125)
O (0.170, 0.170, 0.580)
O (0.170, 0.580, 0.170)
O (0.170, 0.580, 0.580)
O (0.420, 0.420, 0.830)
O (0.420, 0.830, 0.420)
O (0.420, 0.830, 0.830)
O (0.580, 0.170, 0.170)
O (0.580, 0.170, 0.580)
O (0.580, 0.580, 0.170)
O (0.830, 0.420, 0.420)
O (0.830, 0.420, 0.830)
O (0.830, 0.830, 0.420)
O (0.875, 0.875, 0.875)

Output
energy relative to the elements, uncorrected: -3183 kJ/mol of formula units
Fermi-level density of states: 0.741 states/eV/atom
space-group type: Fd-3m, No. 227

=====

No. 2
Material: Be3CoSi
Method: DFT, PBEsol
State: optimized geometry

abc: 4.028 4.028 4.028
angles: 90.00 90.00 90.00
Fractional positions:
Be (0.000, 0.000, 0.500)
Be (0.000, 0.500, 0.000)
Be (0.500, 0.000, 0.000)
Co (0.500, 0.500, 0.500)
Si (0.000, 0.000, 0.000)

Output
energy relative to the elements, uncorrected: 571 kJ/mol of formula units
Fermi-level density of states: 1.260 states/eV/atom
space-group type: Pm-3m, No. 221

=====

No. 3
Material: Li2ZrCo
Method: DFT, PBEsol
State: optimized geometry

abc: 3.518 3.518 4.868
angles: 90.00 90.00 90.00
Fractional positions:
Li (0.000, 0.500, 0.000)
Li (0.500, 0.000, 0.000)
Zr (0.000, 0.000, 0.500)
Co (0.500, 0.500, 0.500)

Output
calculated formation energy: 0.07 eV per atom
Fermi-level density of states: 0.560 states/eV/atom
energy above the most stable polymorph in this dataset: 0 meV per atom
space-group type: P4/mmm, No. 123

=====

No. 4
Material: Th6CoBr15
Method: DFT, PBEsol
State: optimized geometry

abc: 9.949 9.949 9.949
angles: 109.47 109.47 109.47
Fractional positions:
Th (0.000, 0.239, 0.239)
Th (0.000, 0.761, 0.761)
Th (0.239, 0.000, 0.239)
Th (0.239, 0.239, 0.000)
Th (0.761, 0.000, 0.761)
Th (0.761, 0.761, 0.000)
Co (0.000, 0.000, 0.000)
Br (0.000, 0.253, 0.747)
Br (0.000, 0.500, 0.500)
Br (0.000, 0.747, 0.253)
Br (0.253, 0.000, 0.747)
Br (0.253, 0.253, 0.505)
Br (0.253, 0.505, 0.253)
Br (0.253, 0.747, 0.000)
Br (0.495, 0.747, 0.747)
Br (0.500, 0.000, 0.500)
Br (0.500, 0.500, 0.000)
Br (0.505, 0.253, 0.253)
Br (0.747, 0.000, 0.253)
Br (0.747, 0.253, 0.000)
Br (0.747, 0.495, 0.747)
Br (0.747, 0.747, 0.495)

Output
energy relative to the elements, uncorrected: -3214 kJ/mol of formula units
space-group type: Im-3m, No. 229